Compound: Y3Al3Zn2
Source: Alexandria
Functional: GGA-PBE
Structure: relaxed

Cell and atoms, written as POSCAR:
```
Y3Al3Zn2
1.0
2.218 -5.329 0.000
2.218 5.329 0.000
0.000 0.000 14.740
Y Al Zn
6 6 4
Direct
0.089 0.911 0.611 Y
0.089 0.911 0.889 Y
0.364 0.636 0.750 Y
0.636 0.364 0.250 Y
0.911 0.089 0.111 Y
0.911 0.089 0.389 Y
0.343 0.657 0.250 Al
0.385 0.615 0.539 Al
0.385 0.615 0.961 Al
0.615 0.385 0.039 Al
0.615 0.385 0.461 Al
0.657 0.343 0.750 Al
0.206 0.794 0.100 Zn
0.206 0.794 0.400 Zn
0.794 0.206 0.600 Zn
0.794 0.206 0.900 Zn
```

Results
energy of formation from the pure elements: -0.455 eV per atom
M_tot: 0.40 μB per formula unit
E: -0.169 Ha/atom



Compound: Tb8CeSn6
Source: Alexandria
Functional: GGA-PBE
Structure: relaxed

Cell and atoms, written as POSCAR:
```
Tb8CeSn6
1.0
4.558 2.632 6.495
-4.558 2.632 6.495
0.000 -5.263 6.495
Tb Ce Sn
8 1 6
Direct
0.067 0.723 0.393 Tb
0.167 0.167 0.167 Tb
0.277 0.607 0.933 Tb
0.393 0.067 0.723 Tb
0.607 0.933 0.277 Tb
0.723 0.393 0.067 Tb
0.833 0.833 0.833 Tb
0.933 0.277 0.607 Tb
0.500 0.500 0.500 Ce
0.093 0.433 0.772 Sn
0.228 0.907 0.567 Sn
0.433 0.772 0.093 Sn
0.567 0.228 0.907 Sn
0.772 0.093 0.433 Sn
0.907 0.567 0.228 Sn
```

Results
energy of formation from the pure elements: -0.528 eV per atom
M_tot: 1.55 μB per formula unit
E: -0.184 Ha/atom



Compound: ZrScGe2As
Source: Alexandria
Functional: GGA-PBE
Structure: relaxed

Cell and atoms, written as POSCAR:
```
ZrScGe2As
1.0
5.134 0.000 0.000
0.000 5.134 0.000
0.000 0.000 5.205
Zr Sc Ge As
1 1 2 1
Direct
0.000 0.000 0.000 Zr
0.000 0.000 0.500 Sc
0.000 0.500 0.000 Ge
0.500 0.000 0.000 Ge
0.500 0.500 0.500 As
```

Results
energy of formation from the pure elements: 0.697 eV per atom
M_tot: 0.00 μB per formula unit
E: -0.186 Ha/atom



Compound: InHO3
Source: Alexandria
Functional: GGA-PBE
Structure: relaxed

Cell and atoms, written as POSCAR:
```
InHO3
1.0
3.445 0.000 0.000
0.000 3.445 0.000
0.000 0.000 3.445
In H O
1 1 3
Direct
0.000 0.000 0.000 In
0.500 0.500 0.500 H
0.000 0.500 0.500 O
0.500 0.000 0.500 O
0.500 0.500 0.000 O
```

Results
M_tot: 2.01 μB per formula unit
E: -0.147 Ha/atom



Compound: CeEr7Th3
Source: Alexandria
Functional: GGA-PBE
Structure: relaxed

Cell and atoms, written as POSCAR:
```
CeEr7Th3
1.0
6.998 0.000 0.000
-3.499 6.061 0.000
0.000 0.000 8.486
Ce Er Th
1 7 3
Direct
0.000 0.000 0.000 Ce
0.002 0.501 0.995 Er
0.330 0.165 0.659 Er
0.333 0.667 0.658 Er
0.499 0.501 0.995 Er
0.499 0.998 0.995 Er
0.835 0.165 0.659 Er
0.835 0.670 0.659 Er
0.166 0.332 0.324 Th
0.166 0.834 0.324 Th
0.668 0.834 0.324 Th
```

Results
energy of formation from the pure elements: 0.219 eV per atom
M_tot: 0.64 μB per formula unit
E: -0.193 Ha/atom



Compound: Rb2PmU3N8
Source: Alexandria
Functional: GGA-PBE
Structure: relaxed

Cell and atoms, written as POSCAR:
```
Rb2PmU3N8
1.0
3.526 2.036 6.985
-3.526 2.036 6.985
0.000 -4.072 6.985
Rb Pm U N
2 1 3 8
Direct
0.000 0.000 0.000 Rb
0.350 0.350 0.350 Rb
0.832 0.832 0.832 Pm
0.350 0.350 0.848 U
0.350 0.848 0.350 U
0.848 0.350 0.350 U
0.069 0.069 0.539 N
0.069 0.539 0.069 N
0.136 0.136 0.136 N
0.175 0.613 0.613 N
0.539 0.069 0.069 N
0.562 0.562 0.562 N
0.613 0.175 0.613 N
0.613 0.613 0.175 N
```

Results
M_tot: 0.00 μB per formula unit
E: -0.318 Ha/atom